Dy2CrBiO6 after structural relaxation. Source: the Alexandria database, functional PBE+U.

Unit cell a=5.3603 b=5.3756 c=5.3756 alpha=90.00 beta=90.00 gamma=90.00
Last column: nearest neighbours and their distance in Å.
Atoms (fractional coordinates):
Dy1 0.9756 0.5000 0.0000  4 O 2.27
Dy2 0.9756 0.0000 0.5000  4 O 2.27
Cr1 0.6077 0.0000 0.0000  5 O 1.96-1.97
Bi1 0.5419 0.5000 0.5000  5 O 2.26
O1 0.7459 0.2399 0.2399  1 Cr 1.97
O2 0.7459 0.2399 0.7601  1 Cr 1.97
O3 0.1208 0.5000 0.5000  1 Bi 2.26
O4 0.2416 0.0000 0.0000  1 Cr 1.96
O5 0.7459 0.7601 0.7601  1 Cr 1.97
O6 0.7459 0.7601 0.2399  1 Cr 1.97

Properties
Magnetization in μB per atom: 0.3000
Calculated total energy in eV for the cell shown: -72.49